[1]
Density functional theory data (PBE-GGA) for HfNbV after structural relaxation.

a b c (Å): 2.9787 4.5887 4.5887
angles (deg): 120.00 90.00 90.00
Closest atoms and distances in Å follow each position.
Positions (direct):
Nb (0.6105, 0.3333, 0.6667)  3 V 2.74, 3 Hf 2.90, 2 Nb 2.98
Hf (0.0085, 0.0000, 0.0000)  3 V 2.87, 6 Nb 2.90-3.20, 2 Hf 2.98
V (0.3809, 0.6667, 0.3333)  3 Nb 2.74, 3 Hf 2.87, 2 V 2.98

Summary:
space group: P3m1 (156)
crystal system: trigonal
final energy: -28.78 eV for the cell shown
energy above the most stable polymorph in this dataset: 79 meV per atom
magnetic moment: 0.8 μB per formula unit
formation enthalpy at 0 K: 0.12 eV/atom
calculated volume: 18.11 A^3/atom

---

[2]
Density functional theory data (PBE-GGA) for NaH8Ir2 after structural relaxation.

a b c (Å): 3.5959 5.0900 5.0900
angles (deg): 115.13 90.84 90.84
Closest atoms and distances in Å follow each position.
Positions (direct):
Na (0.9999, 0.9964, 0.9964)  12 H 2.38-2.56
H (0.4829, 0.9608, 0.6687)  2 Ir 1.76-1.81, 1 H 1.94
H (0.4829, 0.6687, 0.9608)  2 Ir 1.76-1.81, 1 H 1.94
H (0.7356, 0.5603, 0.5603)  2 Ir 1.77, 1 H 1.81
H (0.0000, 0.2948, 0.6992)  2 Ir 1.81, 2 H 2.01-2.02
H (0.0000, 0.6992, 0.2948)  2 Ir 1.81, 2 H 2.01-2.02
H (0.2645, 0.4334, 0.4334)  2 Ir 1.77, 1 H 1.81
H (0.5172, 0.3253, 0.0331)  2 Ir 1.76-1.81, 1 H 1.94
H (0.5172, 0.0331, 0.3253)  2 Ir 1.76-1.81, 1 H 1.94
Ir (0.5001, 0.6745, 0.3194)  8 H 1.76-1.81
Ir (0.5001, 0.3194, 0.6745)  8 H 1.76-1.81

Summary:
space group: C2/m (12)
crystal system: monoclinic
final energy: -46.27 eV for the cell shown
magnetic moment: 0.0 μB per formula unit
calculated volume: 7.66 A^3/atom

---

[3]
Density functional theory data (PBE-GGA) for MgSe2N2 after structural relaxation.

a b c (Å): 5.1941 5.1941 4.0541
angles (deg): 90.00 90.00 90.00
Closest atoms and distances in Å follow each position.
Positions (direct):
Mg (0.0000, 0.0000, 0.0000)  2 N 2.03
Se (0.0000, 0.5000, 0.0000)  2 Mg 2.60
Se (0.5000, 0.0000, 0.0000)  2 Mg 2.60
N (0.5000, 0.5000, 0.5000)  8 Se 3.29, 4 N 3.67
N (0.0000, 0.0000, 0.5000)  2 Mg 2.03

Summary:
space group: P4/mmm (123)
crystal system: tetragonal
final energy: -16.29 eV for the cell shown
energy above the most stable polymorph in this dataset: 776 meV per atom
magnetic moment: 2.2 μB per formula unit
formation energy (no corrections): 8.9 eV/f.u.
calculated volume: 21.88 A^3/atom

---

[4]
Density functional theory data (PBE-GGA) for FeWBr after structural relaxation.

a b c (Å): 6.8846 6.5983 3.0091
angles (deg): 82.48 71.84 25.68
Closest atoms and distances in Å follow each position.
Positions (direct):
Br (0.9998, 0.9998, 0.0002)  2 Fe 2.82, 2 W 2.82, 4 Br 3.01
Fe (0.3193, 0.3193, 0.6807)  2 W 2.39
W (0.6809, 0.6809, 0.3191)  2 Fe 2.39

Summary:
space group: Fmm2 (42)
crystal system: orthorhombic
final energy: -20.68 eV for the cell shown
energy above the most stable polymorph in this dataset: 194 meV per atom
magnetic moment: 2.4 μB per formula unit
formation energy (no corrections): 2.4 eV/f.u.
calculated volume: 17.47 A^3/atom